(1)
Computed, not measured: a relaxed structure of K2HgIr at the PBE level of DFT.

Output
Energy of formation ... 404 meV/atom

Structure (POSCAR):
```
K2HgIr
1.0
-1.336 -3.349 5.421
0.143 -5.319 3.752
4.927 0.665 3.580
K Ir Hg
2 1 1
Cartesian
2.487 -6.269 9.601
-0.793 -8.318 9.113
0.818 -1.695 2.724
1.897 -4.393 6.864
```

(2)
Computed, not measured: a relaxed structure of KHg2Ir at the PBE level of DFT.

Output
Energy of formation ... 466 meV/atom
Energy relative to the lowest polymorph listed for this composition ... 420.5 meV/atom

Structure (POSCAR):
```
KHg2Ir
1.0
-1.567 -4.771 0.162
-4.376 -1.134 2.193
-3.910 -1.456 -2.799
K Ir Hg
1 1 2
Cartesian
0.000 0.000 0.000
-4.927 -3.680 -0.222
-2.463 -1.840 -0.111
-7.390 -5.520 -0.334
```

(3)
Computed, not measured: a relaxed structure of KHgIr2 at the PBE level of DFT.

Output
Energy of formation ... 1006 meV/atom

Structure (POSCAR):
```
KHgIr2
1.0
4.660 0.000 0.000
0.000 4.065 0.000
0.000 0.000 4.065
Hg K Ir
1 1 2
Cartesian
2.330 0.000 2.032
2.330 2.032 0.000
0.000 2.032 2.032
0.000 0.000 0.000
```

(4)
Computed, not measured: a relaxed structure of KHgIr2 at the PBE level of DFT.

Output
Energy of formation ... 356 meV/atom

Structure (POSCAR):
```
KHgIr2
1.0
-4.454 -0.635 0.463
-3.298 -3.067 -0.421
0.307 -2.544 7.397
Ir K Hg
2 1 1
Cartesian
-5.461 -4.879 6.276
-7.442 -6.065 6.946
-3.694 -3.183 3.923
-2.017 -1.487 1.451
```

(5)
Computed, not measured: a relaxed structure of KHg2Ir at the PBE level of DFT.

Output
Energy of formation ... 669 meV/atom
Energy relative to the lowest polymorph listed for this composition ... 623.5 meV/atom

Structure (POSCAR):
```
KHg2Ir
1.0
-2.026 0.972 -4.524
-1.823 -3.777 -2.815
-4.983 -0.460 -0.687
Ir K Hg
1 1 2
Cartesian
-4.416 -1.632 -4.013
-6.624 -2.449 -6.019
-2.208 -0.816 -2.006
0.000 0.000 0.000
```

(6)
Computed, not measured: a relaxed structure of K2HgIr at the PBE level of DFT.

Output
Energy of formation ... 726 meV/atom

Structure (POSCAR):
```
K2HgIr
1.0
4.230 0.000 0.000
0.000 4.230 0.000
2.115 2.115 11.303
Hg K Ir
2 4 2
Cartesian
4.230 2.115 5.651
0.000 0.000 0.000
3.173 3.196 8.477
1.081 3.173 2.826
5.288 5.264 8.477
3.149 1.058 2.826
2.115 4.230 5.651
2.115 2.115 0.000
```

(7)
Computed, not measured: a relaxed structure of KHg2Ir at the PBE level of DFT.

Output
Energy of formation ... 92 meV/atom
Energy relative to the lowest polymorph listed for this composition ... 46.3 meV/atom

Structure (POSCAR):
```
KHg2Ir
1.0
6.248 0.003 0.000
-1.878 6.323 -0.002
-0.571 -3.546 5.693
K Ir Hg
2 2 4
Cartesian
4.287 3.401 1.102
1.094 1.286 1.099
-0.282 1.819 4.268
0.955 3.773 3.602
3.329 2.595 4.168
1.063 4.777 1.075
4.521 -0.344 3.395
1.321 -0.374 4.009
```

(8)
Computed, not measured: a relaxed structure of KHg2Ir at the PBE level of DFT.

Output
Energy of formation ... 333 meV/atom
Energy relative to the lowest polymorph listed for this composition ... 287.7 meV/atom

Structure (POSCAR):
```
KHg2Ir
1.0
3.757 0.000 0.000
0.000 3.757 0.000
0.000 0.000 7.931
Hg Ir K
2 1 1
Cartesian
0.000 0.000 0.317
1.878 1.878 2.641
0.000 0.000 3.104
1.878 1.878 5.835
```